No. 1
SnC3Cl after structural relaxation. Source: Alexandria, functional GGA-PBEsol.

The structure in POSCAR format:
```
SnC3Cl
1.0
4.347 0.000 0.000
0.000 4.347 0.000
0.000 0.000 4.347
Sn C Cl
1 3 1
Direct
0.000 0.000 0.000 Sn
0.000 0.000 0.500 C
0.000 0.500 0.000 C
0.500 0.000 0.000 C
0.500 0.500 0.500 Cl
```

Space group   Pm-3m
Calculated volume   82.13 Å³ per cell
E_tot   -0.2861 Ry per atom

***

No. 2
Sr3CCl after structural relaxation. Source: Alexandria, functional GGA-PBEsol.

The structure in POSCAR format:
```
Sr3CCl
1.0
5.400 0.000 0.000
0.000 5.400 0.000
0.000 0.000 5.400
Sr C Cl
3 1 1
Direct
0.000 0.000 0.500 Sr
0.000 0.500 0.000 Sr
0.500 0.000 0.000 Sr
0.500 0.500 0.500 C
0.000 0.000 0.000 Cl
```

Space group   Pm-3m
Calculated volume   157.48 Å³ per cell
E_tot   -0.2120 Ry per atom

***

No. 3
SrCCl2 after structural relaxation. Source: Alexandria, functional GGA-PBEsol.

The structure in POSCAR format:
```
SrCCl2
1.0
4.031 0.000 0.000
-2.015 3.491 0.000
0.000 0.000 22.982
Sr C Cl
3 3 6
Direct
0.000 0.000 0.000 Sr
0.333 0.667 0.667 Sr
0.667 0.333 0.333 Sr
0.000 0.000 0.500 C
0.333 0.667 0.167 C
0.667 0.333 0.833 C
0.000 0.000 0.119 Cl
0.000 0.000 0.881 Cl
0.333 0.667 0.547 Cl
0.333 0.667 0.786 Cl
0.667 0.333 0.214 Cl
0.667 0.333 0.453 Cl
```

Space group   R-3m
Calculated volume   323.37 Å³ per cell
E_tot   -0.2191 Ry per atom